PBE Mg2Zn2GePb, relaxed; total energy = -2.328 eV/atom; space group = No. 6
1.0
-8.7330 5.5565 -3.8489
-2.7093 -2.3245 2.7915
4.2628 5.4085 8.6408
Zn Ge Mg Pb
8 4 8 4
direct
0.3747 0.5000 0.1281
0.8712 0.5000 0.6387
0.6325 0.5000 0.8700
0.7692 0.0000 0.2662
0.2707 0.0000 0.7418
0.9812 0.0000 0.9900
0.5084 0.0000 0.5180
0.0998 0.5000 0.3495
0.7539 0.0000 0.5095
0.9947 0.0000 0.2378
0.5120 0.0000 0.7560
0.8702 0.5000 0.8743
0.6278 0.5000 0.6276
0.7437 0.0000 0.0001
0.3873 0.5000 0.8733
0.8688 0.5000 0.3936
0.2332 0.0000 0.4769
0.5140 0.0000 0.2662
0.0000 0.0000 0.7482
0.1076 0.5000 0.1075
0.2476 0.0000 0.9946
0.3725 0.5000 0.3800
0.1278 0.5000 0.6207
0.6311 0.5000 0.1314

PBE TaGaNiPt, relaxed; ΔE to the lowest computed polymorph = 0.000 eV/atom; space group = No. 216
1.0
0.0000 3.1035 3.1035
3.1035 0.0000 3.1035
3.1035 3.1035 0.0000
Ga Ta Pt Ni
1 1 1 1
direct
0.0000 0.0000 0.0000
0.5000 0.5000 0.5000
0.2500 0.2500 0.2500
0.7500 0.7500 0.7500

PBE Pr2HoIn3AgPd2, relaxed; total energy = -4.613 eV/atom; space group = No. 38
1.0
3.9238 0.0000 0.0000
0.0000 6.8340 3.9644
0.0000 -6.8340 3.9644
Ho Pr In Pd Ag
1 2 3 2 1
direct
0.5000 0.5906 0.5906
0.5000 0.4096 0.0000
0.5000 0.0000 0.4096
0.0000 0.2692 0.2692
0.0000 0.9950 0.7345
0.0000 0.7345 0.9950
0.0000 0.6644 0.3394
0.0000 0.3394 0.6644
0.5000 0.9973 0.9973

PBE CsZnAsO, relaxed; ΔE to the lowest computed polymorph = 0.934 eV/atom; space group = No. 129
1.0
-2.4738 3.5713 -0.6417
-0.6112 -1.1756 -4.1869
-8.8734 -5.6298 2.8761
Zn O Cs As
2 2 2 2
direct
0.0000 0.5000 0.0235
0.5000 0.0000 0.9765
0.5000 0.5000 0.0000
0.0000 0.0000 0.0000
0.5000 0.5000 0.5000
0.0000 0.0000 0.5000
0.5000 0.0000 0.7463
0.0000 0.5000 0.2537

PBE HoTmFe2Si2, relaxed; total energy = -6.736 eV/atom; space group = No. 99
1.0
4.0183 0.0000 0.0000
0.0000 4.0183 0.0000
0.0000 0.0000 6.3898
Tm Si Fe Ho
1 2 2 1
direct
0.5000 0.5000 0.3135
0.5000 0.5000 0.8177
0.0000 0.0000 0.1835
0.5000 0.0000 0.0016
0.0000 0.5000 0.0016
0.0000 0.0000 0.6822

PBE DyLu2Sc3Bi2Os, relaxed; total energy = -6.364 eV/atom; space group = No. 38
1.0
-0.3622 -2.7238 3.1729
5.4664 3.9767 4.0379
-7.6058 1.8923 0.7561
Bi Os Sc Lu Dy
2 1 3 2 1
direct
0.5000 0.3300 0.6670
0.5000 0.6670 0.3300
0.0000 0.0066 0.0066
0.5000 0.7762 0.9996
0.5000 0.9996 0.7762
0.5000 0.2282 0.2282
0.0000 0.9988 0.3815
0.0000 0.3815 0.9988
0.0000 0.6121 0.6121